# MnCo3Se, relaxed, DFT PBE
# DFT total energy in eV per cell: -27.97
# E_form (uncorrected) in meV/atom: 1201
# V in Å³ per atom: 14.880
# Polymorph energy (0 for the lowest one) in eV/atom: 0.549
data_MnCo3Se
_symmetry_space_group_name_H-M 'P 1'
_symmetry_Int_Tables_number 1
_symmetry_space_group_name_Hall 'P 1'
_cell_length_a 4.206
_cell_length_b 4.206
_cell_length_c 4.206
_cell_angle_alpha 90.00
_cell_angle_beta 90.00
_cell_angle_gamma 90.00
loop_
_atom_site_label
_atom_site_fract_x
_atom_site_fract_y
_atom_site_fract_z
Mn1 0.000 0.000 0.000
Co1 0.000 0.000 0.500
Co2 0.500 0.000 0.000
Co3 0.000 0.500 0.000
Se1 0.500 0.500 0.500